A plane-wave DFT calculation with GGA-PBEsol was carried out for an optimized crystal structure of Re2HgGe.

It has space group Fm-3m (No. 225), with a = 6.290 Å, b = 6.290 Å, c = 6.290 Å, α = 90.00°, β = 90.00° and γ = 90.00°. The distinct sites, in fractional coordinates, are Re at (0.250, 0.250, 0.250), Hg at (0.000, 0.000, 0.000) and Ge at (0.000, 0.000, 0.500).

The uncorrected energy comes out at -7.2243 eV/atom. The mass density comes out at 17.2 g cm⁻³. The energy relative to the elements comes out at 818 meV per atom. The value obtained for the total moment is 0.00 μB/f.u. The volume is 15.6 A^3/atom.